1.
VASP calculation (PBE-GGA) on a relaxed PmPr4ErTm2 crystal.

The structure in extended XYZ format:
```
8
Lattice="-2.919 1.335 1.718 2.463 -1.715 5.518 6.107 9.839 2.731" Properties=species:S:1:pos:R:3 pbc="T T T"
Pm 4.285 4.062 4.124
Pr 6.433 6.097 6.192
Pr -0.782 3.362 3.774
Pr 1.896 1.804 5.678
Pr 3.755 7.655 4.289
Er 5.879 9.649 6.349
Tm 6.107 9.839 2.731
Tm 1.594 5.587 2.224
```

SG   P2/m, No. 10

---

2.
VASP calculation (PBE-GGA) on a relaxed NaMg2Mo crystal.

The structure in extended XYZ format:
```
4
Lattice="0.000 3.486 3.486 3.486 0.000 3.486 3.486 3.486 0.000" Properties=species:S:1:pos:R:3 pbc="T T T"
Na 0.000 0.000 0.000
Mo 3.486 3.486 3.486
Mg 1.743 1.743 1.743
Mg 5.229 5.229 5.229
```

SG   Fm-3m, No. 225

---

3.
VASP calculation (PBE-GGA) on a relaxed LaTbNd6Tm2 crystal.

The structure in extended XYZ format:
```
20
Lattice="1.508 1.032 -9.600 -7.670 -4.497 -1.026 -0.590 8.801 1.516" Properties=species:S:1:pos:R:3 pbc="T T T"
La -3.086 3.663 -1.916
La -3.666 1.673 -7.195
Tb -7.070 -3.821 -3.346
Tb 0.318 9.157 -5.764
Nd -1.197 6.261 0.510
Nd -1.694 7.227 -3.163
Nd -5.555 -0.925 -9.620
Nd -5.058 -1.892 -5.947
Nd -7.314 -0.262 -3.406
Nd -4.069 -2.201 -2.296
Nd 0.562 5.598 -5.705
Nd -2.682 7.537 -6.814
Nd -5.506 1.265 -1.136
Nd -3.519 0.700 -3.719
Nd -1.246 4.071 -7.974
Nd -3.233 4.635 -5.391
Tm -5.908 3.089 -4.095
Tm -2.275 0.459 -0.458
Tm -0.844 2.247 -5.015
Tm -4.477 4.877 -8.652
```

SG   C2/c, No. 15

---

4.
VASP calculation (PBE-GGA) on a relaxed AcMgGa2 crystal.

The structure in extended XYZ format:
```
4
Lattice="-0.190 -2.594 -2.566 1.756 -2.317 2.213 -6.398 -2.236 2.735" Properties=species:S:1:pos:R:3 pbc="T T T"
Ac -2.416 -3.574 1.191
Mg 0.783 -2.456 -0.177
Ga -5.131 -1.794 2.193
Ga -1.266 -0.443 0.541
```

SG   P4/mmm, No. 123

---

5.
VASP calculation (PBE-GGA) on a relaxed TbTmGa crystal.

The structure in extended XYZ format:
```
3
Lattice="3.632 0.000 0.000 0.000 4.947 0.000 0.000 -2.474 4.285" Properties=species:S:1:pos:R:3 pbc="T T T"
Tm 0.303 0.000 0.000
Tb 2.241 2.474 1.428
Ga 1.088 0.000 2.856
```

SG   P3m1, No. 156

---

6.
VASP calculation (PBE-GGA) on a relaxed ZrSc2In crystal.

The structure in extended XYZ format:
```
4
Lattice="3.214 0.000 0.000 0.000 5.573 0.005 0.000 3.868 5.161" Properties=species:S:1:pos:R:3 pbc="T T T"
In 0.000 1.934 2.581
Sc 0.000 0.000 0.000
Sc 1.607 2.787 0.002
Zr 1.607 4.721 2.583
```

SG   P2/m, No. 10

---

7.
VASP calculation (PBE-GGA) on a relaxed Rb2Hg2Se crystal.

The structure in extended XYZ format:
```
5
Lattice="4.424 0.000 0.000 0.000 4.424 0.000 2.212 2.212 10.018" Properties=species:S:1:pos:R:3 pbc="T T T"
Se 0.000 0.000 0.000
Hg 4.424 2.212 5.009
Hg 2.212 4.424 5.009
Rb 2.212 2.212 1.711
Rb 4.424 4.424 8.307
```

SG   I4/mmm, No. 139
E_form (uncorrected)   -49.2 kJ per mole of atoms

---

8.
VASP calculation (PBE-GGA) on a relaxed CsFePdPb2 crystal.

The structure in extended XYZ format:
```
5
Lattice="-2.002 -0.558 4.953 3.633 -4.913 0.915 3.856 3.209 1.920" Properties=species:S:1:pos:R:3 pbc="T T T"
Pb 1.928 1.605 0.960
Pb -1.001 -0.279 2.477
Cs 1.816 -2.456 0.458
Fe 2.744 -1.131 3.894
Pd 0.000 0.000 0.000
```

SG   P4/mmm, No. 123

---

9.
VASP calculation (PBE-GGA) on a relaxed KAg2Hg9 crystal.

The structure in extended XYZ format:
```
12
Lattice="-1.781 3.563 0.757 0.065 2.030 -9.404 -7.518 -4.581 3.880" Properties=species:S:1:pos:R:3 pbc="T T T"
K 0.000 0.000 0.000
Ag -2.462 -0.174 -4.976
Ag -4.990 -2.377 -0.548
Hg -2.267 2.555 -6.500
Hg -3.759 -2.290 1.940
Hg -3.726 -1.275 -2.762
Hg -5.497 0.587 -4.833
Hg -6.966 -1.542 1.733
Hg -6.938 -0.670 -2.307
Hg -3.736 0.426 0.066
Hg 0.033 1.015 -4.702
Hg -2.295 1.683 -2.460
```

SG   P6/mmm, No. 191

---

10.
VASP calculation (PBE-GGA) on a relaxed CrCd crystal.

The structure in extended XYZ format:
```
8
Lattice="-4.482 1.445 -2.632 -2.990 -1.715 4.150 0.275 4.907 2.226" Properties=species:S:1:pos:R:3 pbc="T T T"
Cr -0.704 0.453 0.366
Cr -4.337 1.967 4.016
Cr -5.721 2.252 1.001
Cr -3.634 4.601 2.104
Cd -2.912 1.876 1.515
Cd -1.960 3.555 4.233
Cd -5.348 -0.223 2.399
Cd -4.176 4.065 -0.660
```

SG   P2_13, No. 198

---

11.
VASP calculation (PBE-GGA) on a relaxed TcRhN crystal.

The structure in extended XYZ format:
```
3
Lattice="2.782 0.000 0.017 0.000 2.787 0.000 -0.668 0.000 4.626" Properties=species:S:1:pos:R:3 pbc="T T T"
Tc 1.164 0.000 2.286
Rh 2.526 1.394 0.244
N -0.281 1.394 2.974
```

SG   Pm, No. 6
E_form (uncorrected)   16.3 kJ per mole of atoms

---

12.
VASP calculation (PBE-GGA) on a relaxed Y2CrIr crystal.

The structure in extended XYZ format:
```
4
Lattice="-6.342 4.211 -1.156 -6.888 0.895 -3.323 -7.628 0.860 0.606" Properties=species:S:1:pos:R:3 pbc="T T T"
Cr -11.132 3.185 -2.067
Ir -4.516 1.292 -0.839
Y -20.192 5.776 -3.750
Y -16.304 4.664 -3.028
```

SG   R3m, No. 160

---

Number 1: energy -37.2 eV/f.u., total magnetic moment 0.0 μB per cell. Number 2: energy -12.7 eV/f.u., total magnetic moment 2.6 μB per cell. Number 3: energy -46.0 eV/f.u., total magnetic moment 0.0 μB per cell. Number 4: energy -13.0 eV/f.u., total magnetic moment 0.0 μB per cell. Number 5: energy -13.0 eV/f.u., total magnetic moment 0.0 μB per cell. Number 6: energy -24.6 eV/f.u., total magnetic moment 0.0 μB per cell. Number 7: energy -8.6 eV/f.u., total magnetic moment 0.0 μB per cell. Number 8: energy -18.1 eV/f.u., total magnetic moment 3.2 μB per cell. Number 9: energy -9.7 eV/f.u., total magnetic moment 0.0 μB per cell. Number 10: energy -9.3 eV/f.u., total magnetic moment 16.5 μB per cell. Number 11: energy -25.5 eV/f.u., total magnetic moment 0.0 μB per cell. Number 12: energy -32.1 eV/f.u., total magnetic moment 0.0 μB per cell.